No. 1
Density functional theory data (PBE) for a geometry-optimized Tb3ErTm5 structure.

Results
- size of the total moment (μB/f.u.) = 0.0
- E (eV/atom) = -4.40
- calculated formation energy (eV per atom) = 0.133

```
Tb3ErTm5
1.0
8.618 -4.559 0.000
8.618 4.559 0.000
0.000 0.000 7.139
Tb Er Tm
6 2 10
direct
0.000 0.000 0.000 Tb
0.000 0.000 0.500 Tb
0.191 0.192 0.250 Tb
0.192 0.191 0.750 Tb
0.808 0.809 0.250 Tb
0.809 0.808 0.750 Tb
0.303 0.697 0.750 Er
0.697 0.303 0.250 Er
0.156 0.522 0.501 Tm
0.156 0.522 0.999 Tm
0.341 0.659 0.250 Tm
0.478 0.844 0.501 Tm
0.478 0.844 0.999 Tm
0.522 0.156 0.001 Tm
0.522 0.156 0.499 Tm
0.659 0.341 0.750 Tm
0.844 0.478 0.001 Tm
0.844 0.478 0.499 Tm
```


No. 2
Density functional theory data (PBE) for a geometry-optimized Tb3Er2Tm7 structure.

Results
- size of the total moment (μB/f.u.) = 0.0
- E (eV/atom) = -4.36
- calculated formation energy (eV per atom) = 0.170

```
Tb3Er2Tm7
1.0
2.873 -18.379 0.000
2.873 18.379 0.000
0.000 0.000 3.548
Tb Er Tm
3 2 7
direct
0.000 0.000 0.000 Tb
0.150 0.850 0.000 Tb
0.850 0.150 0.000 Tb
0.325 0.675 0.500 Er
0.675 0.325 0.500 Er
0.073 0.927 0.500 Tm
0.230 0.770 0.500 Tm
0.410 0.590 0.000 Tm
0.500 0.500 0.500 Tm
0.590 0.410 0.000 Tm
0.770 0.230 0.500 Tm
0.927 0.073 0.500 Tm
```


No. 3
Density functional theory data (PBE) for a geometry-optimized TbErTm2 structure.

Results
- size of the total moment (μB/f.u.) = 0.0
- E (eV/atom) = -4.52
- calculated formation energy (eV per atom) = 0.012

```
TbErTm2
1.0
11.360 -1.766 0.000
11.360 1.766 0.000
-0.551 0.000 6.086
Tb Er Tm
2 2 4
direct
0.187 0.187 0.061 Tb
0.813 0.813 0.939 Tb
0.063 0.063 0.355 Er
0.937 0.937 0.645 Er
0.312 0.312 0.437 Tm
0.438 0.438 0.146 Tm
0.562 0.562 0.854 Tm
0.688 0.688 0.563 Tm
```


Q: Number 1 is which compound?
A: Tb3ErTm5